## i
14
Lattice="8.193 -3.348 0.000 8.193 3.348 0.000 -8.030 0.000 8.201" Properties=species:S:1:pos:R:3 comment="Pm2HoEr4 | Alexandria via LeMat-Bulk | PBE | optimized geometry" dos_at_fermi_per_ev_atom=1.2101 magnetic_moment_mub_per_fu=0.00 pbc="T T T"
Pm 0.000 0.000 0.000
Pm -0.157 -0.745 3.872
Pm 8.514 -0.745 4.329
Pm 4.179 -3.325 4.100
Ho -4.149 -0.739 7.982
Ho 12.506 -0.739 0.218
Er 2.894 0.125 2.825
Er 6.164 1.156 2.060
Er -1.126 0.128 6.959
Er 2.193 1.156 6.140
Er 9.483 0.128 1.242
Er 5.463 0.125 5.376
Er 6.177 -1.819 2.026
Er 2.180 -1.819 6.175

## ii
7
Lattice="3.116 -1.799 0.000 3.116 1.799 0.000 -2.088 0.000 19.900" Properties=species:S:1:pos:R:3 comment="Pm2HoEr4 | Alexandria via LeMat-Bulk | PBE | optimized geometry" dos_at_fermi_per_ev_atom=1.6440 magnetic_moment_mub_per_fu=0.01 pbc="T T T"
Pm 0.000 0.000 0.000
Pm -0.007 0.000 5.776
Ho -0.003 0.000 11.457
Er -0.002 0.000 17.013
Er 2.072 0.000 2.906
Er 4.148 0.000 8.659
Er 4.153 0.000 14.246

Which structure is most stable, and how do the rest compare? From most to least stable: ii, i.

## i
8
Lattice="5.721 3.303 2.238 -5.721 3.303 2.238 0.000 -6.606 2.238" Properties=species:S:1:pos:R:3 comment="PmHoEr6 | Alexandria via LeMat-Bulk | PBE | optimized geometry" dos_at_fermi_per_ev_atom=2.0766 magnetic_moment_mub_per_fu=0.22 pbc="T T T"
Pm 0.000 0.000 0.000
Ho 0.000 0.000 3.357
Er 0.000 -3.280 2.791
Er -2.840 1.640 2.791
Er -2.840 -1.640 3.922
Er 2.840 1.640 2.791
Er 2.840 -1.640 3.922
Er 0.000 3.280 3.922

## ii
8
Lattice="6.502 0.000 0.000 -0.013 6.667 0.000 -1.807 -3.289 5.826" Properties=species:S:1:pos:R:3 comment="PmHoEr6 | Alexandria via LeMat-Bulk | PBE | optimized geometry" dos_at_fermi_per_ev_atom=1.6808 magnetic_moment_mub_per_fu=0.00 pbc="T T T"
Pm 0.000 0.000 0.000
Ho 3.251 0.000 0.000
Er 0.631 2.243 2.797
Er 1.629 3.614 0.005
Er 0.813 -1.102 3.069
Er 3.868 4.480 2.757
Er 3.053 -0.237 5.821
Er 4.051 1.134 3.029

Which structure is most stable, and how do the rest compare? From most to least stable: ii, i.

## i
12
Lattice="6.455 0.000 0.000 0.976 6.713 0.000 2.089 0.370 8.704" Properties=species:S:1:pos:R:3 comment="PmHo7Er4 | Alexandria via LeMat-Bulk | PBE | optimized geometry" dos_at_fermi_per_ev_atom=1.7183 magnetic_moment_mub_per_fu=0.00 pbc="T T T"
Pm 0.000 0.000 0.000
Ho 0.488 3.357 0.000
Ho 2.154 0.822 3.367
Ho 4.063 4.974 5.605
Ho 3.467 1.712 0.426
Ho 6.053 5.371 8.277
Ho 5.457 2.110 3.099
Ho 7.366 6.262 5.337
Er 2.317 4.201 2.754
Er 3.985 1.607 6.187
Er 5.535 5.477 2.516
Er 7.204 2.883 5.950

## ii
12
Lattice="5.992 -2.910 0.000 5.992 2.910 0.000 -5.887 0.000 11.093" Properties=species:S:1:pos:R:3 comment="PmHo7Er4 | Alexandria via LeMat-Bulk | PBE | optimized geometry" dos_at_fermi_per_ev_atom=1.7030 magnetic_moment_mub_per_fu=0.00 pbc="T T T"
Pm 0.000 0.000 0.000
Ho -1.231 0.000 3.645
Ho -2.902 0.000 10.235
Ho 1.454 0.000 5.506
Ho 5.992 0.000 0.000
Ho 4.644 0.000 5.587
Ho 9.000 0.000 0.858
Ho 7.328 0.000 7.448
Er -1.023 0.000 7.594
Er 3.074 0.000 2.504
Er 3.023 0.000 8.589
Er 7.120 0.000 3.498

Which structure is most stable, and how do the rest compare? From most to least stable: i, ii.

## i
11
Lattice="10.976 0.000 0.000 -5.488 9.505 0.000 0.000 0.000 3.549" Properties=species:S:1:pos:R:3 comment="Pm4Ho6Er | Alexandria via LeMat-Bulk | PBE | optimized geometry" dos_at_fermi_per_ev_atom=1.4908 magnetic_moment_mub_per_fu=0.00 pbc="T T T"
Pm 0.000 0.000 0.000
Pm -2.705 4.775 1.775
Pm 2.705 4.775 1.775
Pm 0.000 9.461 1.775
Ho 0.000 2.921 1.775
Ho -2.958 8.045 1.775
Ho 2.918 1.685 0.000
Ho 2.958 8.045 1.775
Ho 8.058 1.685 0.000
Ho 5.488 6.136 0.000
Er 0.000 6.337 0.000

## ii
11
Lattice="-3.308 3.308 8.512 3.308 -3.308 8.512 3.308 3.308 -8.512" Properties=species:S:1:pos:R:3 comment="Pm4Ho6Er | Alexandria via LeMat-Bulk | PBE | optimized geometry" dos_at_fermi_per_ev_atom=1.2595 magnetic_moment_mub_per_fu=0.00 pbc="T T T"
Pm 2.057 2.057 -2.983
Pm 1.251 -1.251 11.496
Pm 1.251 1.251 5.529
Pm -1.251 1.251 11.496
Ho 3.308 0.000 0.000
Ho 2.127 -2.127 6.363
Ho 1.181 1.181 2.149
Ho 0.000 3.308 0.000
Ho -2.127 2.127 6.363
Ho 2.127 2.127 10.662
Er 0.000 0.000 8.512

Which structure is most stable, and how do the rest compare? From most to least stable: i, ii.

## i
11
Lattice="8.366 -3.386 0.000 8.366 3.386 0.000 -1.202 0.000 6.594" Properties=species:S:1:pos:R:3 comment="Pm8Ho2Er | Alexandria via LeMat-Bulk | PBE | optimized geometry" dos_at_fermi_per_ev_atom=1.6253 magnetic_moment_mub_per_fu=0.00 pbc="T T T"
Pm 0.464 0.000 6.018
Pm 6.193 1.774 3.933
Pm 3.458 0.000 4.495
Pm 9.337 1.774 2.661
Pm 6.193 -1.774 3.933
Pm 12.072 0.000 2.099
Pm 9.337 -1.774 2.661
Pm 15.067 0.000 0.576
Ho 4.838 0.000 1.282
Ho 10.693 0.000 5.312
Er 8.366 0.000 0.000

## ii
11
Lattice="7.126 -3.383 0.000 7.126 3.383 0.000 -3.530 0.000 7.821" Properties=species:S:1:pos:R:3 comment="Pm8Ho2Er | Alexandria via LeMat-Bulk | PBE | optimized geometry" dos_at_fermi_per_ev_atom=1.4328 magnetic_moment_mub_per_fu=0.00 pbc="T T T"
Pm -1.962 0.000 7.760
Pm 3.625 1.753 4.832
Pm 0.705 0.000 6.066
Pm 7.096 1.753 2.988
Pm 3.625 -1.753 4.832
Pm 10.016 0.000 1.755
Pm 7.096 -1.753 2.988
Pm 12.683 0.000 0.060
Ho 4.201 0.000 1.898
Ho 6.520 0.000 5.923
Er 7.126 0.000 0.000

Which structure is most stable, and how do the rest compare? From most to least stable: i, ii.

## i
11
Lattice="-3.775 3.775 6.542 3.775 -3.775 6.542 3.775 3.775 -6.542" Properties=species:S:1:pos:R:3 comment="PmHo6Er4 | Alexandria via LeMat-Bulk | PBE | optimized geometry" dos_at_fermi_per_ev_atom=1.3945 magnetic_moment_mub_per_fu=0.00 pbc="T T T"
Pm 0.000 0.000 0.000
Ho 3.775 0.000 0.000
Ho 1.947 -1.947 4.107
Ho 1.828 1.828 2.434
Ho 0.000 3.775 0.000
Ho -1.947 1.947 4.107
Ho 1.947 1.947 8.976
Er 2.546 2.546 -1.022
Er 1.229 -1.229 7.564
Er 1.229 1.229 5.519
Er -1.229 1.229 7.564

## ii
22
Lattice="2.823 -4.798 0.000 2.823 4.798 0.000 0.000 0.000 25.535" Properties=species:S:1:pos:R:3 comment="PmHo6Er4 | Alexandria via LeMat-Bulk | PBE | optimized geometry" dos_at_fermi_per_ev_atom=1.7771 magnetic_moment_mub_per_fu=0.00 pbc="T T T"
Pm 2.823 3.045 19.151
Pm 2.823 -3.045 6.384
Ho 2.823 3.373 4.613
Ho 2.823 3.373 8.154
Ho 2.823 3.032 15.370
Ho 2.823 3.032 22.933
Ho 2.823 0.161 6.384
Ho 2.823 0.000 0.000
Ho 2.823 0.000 12.768
Ho 2.823 -0.161 19.151
Ho 2.823 -3.032 2.602
Ho 2.823 -3.032 10.166
Ho 2.823 -3.373 17.381
Ho 2.823 -3.373 20.922
Er 2.823 3.263 1.069
Er 2.823 3.263 11.698
Er 2.823 0.203 3.096
Er 2.823 0.203 9.671
Er 2.823 -0.203 15.864
Er 2.823 -0.203 22.439
Er 2.823 -3.263 13.837
Er 2.823 -3.263 24.466

Which structure is most stable, and how do the rest compare? From most to least stable: ii, i.